Record 1
First-principles (GGA-PBE) data for an optimized crystal structure of LiAl2Zn, as listed in Alexandria via LeMat-Bulk.

Geometry as POSCAR:
```
LiAl2Zn
1.0
-2.117 -1.192 1.426
1.796 -1.871 1.099
1.401 5.043 6.295
Zn Al Li
1 2 1
Direct
0.500 0.500 0.750
0.000 0.000 0.990
0.000 0.000 0.510
0.500 0.500 0.250
```

Output
D(E_F) (states/eV/f.u.): 1.27

Record 2
First-principles (GGA-PBE) data for an optimized crystal structure of LiAlZn4, as listed in Alexandria via LeMat-Bulk.

Geometry as POSCAR:
```
LiAlZn4
1.0
5.110 0.000 0.000
2.555 4.426 0.000
2.555 1.475 4.173
Al Li Zn
1 1 4
Direct
0.250 0.250 0.250
0.000 0.000 0.000
0.123 0.626 0.626
0.626 0.626 0.626
0.626 0.123 0.626
0.626 0.626 0.123
```

Output
Excess energy over the best structure of this formula in the dataset (eV/f.u.): 0.166
D(E_F) (states/eV/f.u.): 1.76

Number 1: total magnetic moment 0.00 μB/cell, formation energy -0.0607 eV/atom. Number 2: total magnetic moment 0.00 μB/cell, formation energy -0.0481 eV/atom.